Entry 1:
Entry from Alexandria: an optimized crystal structure of Ta2BPbI (PBE).

Cell lengths 4.596, 4.596, 4.855 Å; angles 90.00, 90.00, 90.00 degrees
Positions (direct):
Ta  0.000  0.500  0.000
Ta  0.500  0.000  0.000
B  0.000  0.000  0.000
Pb  0.500  0.500  0.500
I  0.000  0.000  0.500

Computed properties:
Raw formation energy   1.0574 eV/atom

Entry 2:
Entry from Alexandria: an optimized crystal structure of HoLuInAg (PBE).

Cell lengths 5.186, 5.186, 5.186 Å; angles 60.00, 60.00, 60.00 degrees
Positions (direct):
Ho  0.000  0.000  0.000
Lu  0.500  0.500  0.500
In  0.250  0.250  0.250
Ag  0.750  0.750  0.750

Computed properties:
E_form   -0.392 eV per atom

| no. | energy (eV/atom) |
| --- | --- |
| 1 | -6.071 |
| 2 | -4.064 |